Entry 1:
VASP calculation (PBE) on a relaxed Na3SiIr crystal.

Cell: 5.344 5.344 5.344 Å, 90.00 90.00 90.00°
Element x y z (fractional)
Na 0.000 0.000 0.500
Na 0.000 0.500 0.000
Na 0.500 0.000 0.000
Si 0.500 0.500 0.500
Ir 0.000 0.000 0.000

Properties
energy above the lowest structure with this stoichiometry: 0 meV/atom
energy relative to the elements, uncorrected: 1.160 eV per atom
crystal system: cubic
space group: Pm-3m, No. 221

***

Entry 2:
VASP calculation (PBE) on a relaxed Na2SiIr2 crystal.

Cell: 7.195 7.195 3.052 Å, 90.00 90.00 90.00°
Element x y z (fractional)
Na 0.103 0.397 0.000
Na 0.397 0.897 0.000
Na 0.603 0.103 0.000
Na 0.897 0.603 0.000
Si 0.000 0.000 0.000
Si 0.500 0.500 0.000
Ir 0.202 0.702 0.500
Ir 0.298 0.202 0.500
Ir 0.702 0.798 0.500
Ir 0.798 0.298 0.500

Properties
energy above the lowest structure with this stoichiometry: 1240 meV/atom
energy relative to the elements, uncorrected: 1.038 eV per atom
crystal system: tetragonal
space group: P4/mbm, No. 127

***

Entry 3:
VASP calculation (PBE) on a relaxed NaSi2Ir crystal.

Cell: 5.883 5.883 5.883 Å, 40.67 40.67 40.67°
Element x y z (fractional)
Na 0.000 0.000 0.000
Si 0.203 0.203 0.203
Si 0.797 0.797 0.797
Ir 0.500 0.500 0.500

Properties
energy relative to the elements, uncorrected: -0.244 eV per atom
crystal system: trigonal
space group: R-3m, No. 166

***

Entry 4:
VASP calculation (PBE) on a relaxed Na2Si4Ir5 crystal.

Cell: 8.347 7.228 5.818 Å, 78.74 58.13 43.13°
Element x y z (fractional)
Na 0.118 0.118 0.882
Na 0.882 0.882 0.118
Si 0.215 0.521 0.479
Si 0.479 0.785 0.215
Si 0.521 0.215 0.785
Si 0.785 0.479 0.521
Ir 0.000 0.000 0.500
Ir 0.250 0.250 0.250
Ir 0.500 0.500 0.000
Ir 0.500 0.500 0.500
Ir 0.750 0.750 0.750

Properties
energy relative to the elements, uncorrected: -0.458 eV per atom
crystal system: orthorhombic
space group: Fmmm, No. 69

***

Entry 5:
VASP calculation (PBE) on a relaxed Na3SiIr crystal.

Cell: 5.494 5.494 5.494 Å, 90.00 90.00 90.00°
Element x y z (fractional)
Na 0.000 0.000 0.500
Na 0.000 0.500 0.000
Na 0.500 0.000 0.000
Si 0.000 0.000 0.000
Ir 0.500 0.500 0.500

Properties
energy above the lowest structure with this stoichiometry: 120 meV/atom
energy relative to the elements, uncorrected: 1.280 eV per atom
crystal system: cubic
space group: Pm-3m, No. 221

***

Entry 6:
VASP calculation (PBE) on a relaxed NaSr2SiIr crystal.

Cell: 5.965 5.965 4.621 Å, 90.00 90.00 90.00°
Element x y z (fractional)
Na 0.000 0.000 0.000
Sr 0.000 0.500 0.500
Sr 0.500 0.000 0.500
Si 0.500 0.500 0.000
Ir 0.500 0.500 0.500

Properties
energy relative to the elements, uncorrected: -0.251 eV per atom
crystal system: tetragonal
space group: P4/mmm, No. 123

***

Entry 7:
VASP calculation (PBE) on a relaxed NaSm3Ir crystal.

Cell: 5.588 5.588 5.588 Å, 90.00 90.00 90.00°
Element x y z (fractional)
Na 0.000 0.000 0.000
Sm 0.000 0.500 0.500
Sm 0.500 0.000 0.500
Sm 0.500 0.500 0.000
Ir 0.500 0.500 0.500

Properties
crystal system: cubic
formation energy: -0.21 eV per atom
space group: Pm-3m, No. 221

***

Entry 8:
VASP calculation (PBE) on a relaxed NaSm3Ir8 crystal.

Cell: 9.328 9.328 9.328 Å, 33.52 33.52 33.52°
Element x y z (fractional)
Na 0.000 0.000 0.000
Sm 0.121 0.121 0.121
Sm 0.502 0.502 0.502
Sm 0.630 0.630 0.630
Ir 0.064 0.064 0.564
Ir 0.064 0.564 0.064
Ir 0.065 0.563 0.563
Ir 0.314 0.314 0.314
Ir 0.563 0.065 0.563
Ir 0.563 0.563 0.065
Ir 0.564 0.064 0.064
Ir 0.814 0.814 0.814

Properties
crystal system: trigonal
formation energy: -0.54 eV per atom
space group: R3m, No. 160

***

Final energy (computed, eV/cell): -12.441 -41.190 -22.001 -73.669 -11.839 -20.221 -25.380 -92.894